Material: In3CoI
Method: DFT, GGA-PBEsol
State: optimized geometry

```
data_In3CoI
_chemical_formula_sum 'In3 Co1 I1'
_space_group_name_H-M_alt 'P m -3 m'
_space_group_IT_number 221
_space_group_name_Hall '-P 4 2 3'
_cell_length_a 5.009
_cell_length_b 5.009
_cell_length_c 5.009
_cell_angle_alpha 90.00
_cell_angle_beta 90.00
_cell_angle_gamma 90.00
loop_
_atom_site_label
_atom_site_fract_x
_atom_site_fract_y
_atom_site_fract_z
In1 0.000 0.000 0.500
Co1 0.000 0.000 0.000
I1 0.500 0.500 0.500
```

Properties
* N(E_F): 2.917 states/eV/f.u.
* formation energy from raw total energies: -40 kJ/mol of formula units